1.
A relaxed structure of Pm2Cl3O. Source: Alexandria, functional PBE.

Computed properties:
**Symmetry**: No. 12
**Crystal system**: monoclinic

```
Pm2Cl3O
1.0
4.0526 0.0000 0.0000
2.0263 7.9109 0.4345
2.0263 2.2966 9.3718
Pm Cl O
4 6 2
direct
0.8649 0.4820 0.7881 Pm
0.1351 0.5180 0.2119 Pm
0.5866 0.2776 0.5491 Pm
0.4134 0.7224 0.4509 Pm
0.0480 0.1398 0.7641 Cl
0.9520 0.8602 0.2359 Cl
0.6632 0.6842 0.9895 Cl
0.3368 0.3158 0.0105 Cl
0.7700 0.8443 0.6157 Cl
0.2300 0.1557 0.3843 Cl
0.4168 0.4962 0.6701 O
0.5832 0.5038 0.3299 O
```

2.
A relaxed structure of Pm7Cl12O. Source: Alexandria, functional PBE.

Computed properties:
**Symmetry**: No. 148
**Crystal system**: trigonal
**DOS at the Fermi energy**: 3.0 states/eV/f.u.

```
Pm7Cl12O
1.0
-8.0528 -2.0856 -2.6452
2.4183 -5.8523 6.0081
-0.4260 7.7937 3.9080
Pm Cl O
7 12 1
direct
0.9658 0.6874 0.8900 Pm
0.3126 0.1100 0.0342 Pm
0.1100 0.0342 0.3126 Pm
0.5000 0.5000 0.5000 Pm
0.8900 0.9658 0.6874 Pm
0.6874 0.8900 0.9658 Pm
0.0342 0.3126 0.1100 Pm
0.9222 0.3146 0.7766 Cl
0.6854 0.2234 0.0778 Cl
0.4739 0.1529 0.3871 Cl
0.8471 0.6129 0.5261 Cl
0.2234 0.0778 0.6854 Cl
0.6129 0.5261 0.8471 Cl
0.3871 0.4739 0.1529 Cl
0.7766 0.9222 0.3146 Cl
0.1529 0.3871 0.4739 Cl
0.5261 0.8471 0.6129 Cl
0.3146 0.7766 0.9222 Cl
0.0778 0.6854 0.2234 Cl
0.0000 0.0000 0.0000 O
```

3.
A relaxed structure of Pm2ClO. Source: Alexandria, functional PBE.

Computed properties:
**Symmetry**: No. 31
**Crystal system**: orthorhombic
**DOS at the Fermi energy**: 1.6 states/eV/f.u.
**Energy relative to the lowest polymorph listed for this composition**: 0.0000 eV/atom

```
Pm2ClO
1.0
3.7273 0.0000 -0.0014
0.0001 5.6010 0.0001
0.0032 0.0002 9.4548
Pm Cl O
4 2 2
direct
0.7009 0.5820 0.3092 Pm
0.7010 0.5703 0.6832 Pm
0.2010 0.0703 0.5327 Pm
0.2010 0.0820 0.9068 Pm
0.2009 0.9760 0.2096 Cl
0.7010 0.4760 0.0064 Cl
0.2010 0.8052 0.7425 O
0.7010 0.3051 0.4734 O
```

In eV/atom, the formation energy without anion corrections values for the records above are, in order, -2.56; -2.09; -2.06.
In eV per cell, the E values for the records above are, in order, -70.7; -102.2; -49.1.